Y2CuNi | Alexandria via LeMat-Bulk | PBE | optimized geometry; volume = 21.029 Å³ per atom; formation energy from the elements = -353.9 meV/atom; space-group type = No. 11; total DFT energy (no corrections) = -6.06 eV/atom
1.0
5.455 0.000 0.000
0.000 4.405 0.000
-2.536 0.000 7.001
Y Cu Ni
4 2 2
Cartesian
0.091 1.101 3.029 Y
-1.124 1.101 6.499 Y
4.043 3.304 0.501 Y
2.828 3.304 3.972 Y
1.385 3.304 1.502 Cu
1.533 1.101 5.499 Cu
0.143 3.304 5.008 Ni
2.776 1.101 1.993 Ni

Y2CuNi | Alexandria via LeMat-Bulk | PBE | optimized geometry; volume = 22.795 Å³ per atom; formation energy from the elements = -145.8 meV/atom; space-group type = No. 166; total DFT energy (no corrections) = -5.85 eV/atom
1.0
3.972 0.000 0.000
-1.986 3.440 0.000
0.000 0.000 20.020
Y Cu Ni
6 3 3
Cartesian
0.000 0.000 4.890 Y
0.000 0.000 15.129 Y
0.000 2.293 8.456 Y
0.000 2.293 18.237 Y
1.986 1.147 1.783 Y
1.986 1.147 11.564 Y
0.000 0.000 0.000 Cu
0.000 2.293 13.347 Cu
1.986 1.147 6.673 Cu
0.000 0.000 10.010 Ni
0.000 2.293 3.337 Ni
1.986 1.147 16.683 Ni

Y2CuNi | Alexandria via LeMat-Bulk | PBE | optimized geometry; volume = 18.694 Å³ per atom; formation energy from the elements = 33.6 meV/atom; space-group type = No. 216; total DFT energy (no corrections) = -5.67 eV/atom
1.0
6.688 0.000 0.000
0.000 6.688 0.000
0.000 0.000 6.688
Y Cu Ni
8 4 4
Cartesian
0.000 0.000 0.000 Y
0.000 3.344 3.344 Y
1.672 1.672 1.672 Y
1.672 5.016 5.016 Y
3.344 0.000 3.344 Y
3.344 3.344 0.000 Y
5.016 1.672 5.016 Y
5.016 5.016 1.672 Y
0.000 0.000 3.344 Cu
0.000 3.344 0.000 Cu
3.344 0.000 0.000 Cu
3.344 3.344 3.344 Cu
1.672 1.672 5.016 Ni
1.672 5.016 1.672 Ni
5.016 1.672 1.672 Ni
5.016 5.016 5.016 Ni

YCuNi2 | Alexandria via LeMat-Bulk | PBE | optimized geometry; volume = 15.253 Å³ per atom; formation energy from the elements = -104.7 meV/atom; space-group type = No. 123; total DFT energy (no corrections) = -5.64 eV/atom
1.0
3.254 0.000 0.000
0.000 3.254 0.000
0.000 0.000 5.761
Y Cu Ni
1 1 2
Cartesian
0.000 0.000 0.000 Y
0.000 0.000 2.881 Cu
1.627 1.627 1.680 Ni
1.627 1.627 4.081 Ni

YCu8Ni2 | Alexandria via LeMat-Bulk | PBE | optimized geometry; volume = 17.003 Å³ per atom; formation energy from the elements = 388.9 meV/atom; space-group type = No. 139; total DFT energy (no corrections) = -4.23 eV/atom
1.0
-2.429 2.429 7.924
2.429 -2.429 7.924
2.429 2.429 -7.924
Y Cu Ni
1 8 2
Cartesian
0.000 0.000 0.000 Y
1.226 1.226 -2.268 Cu
1.204 -1.204 5.656 Cu
1.226 1.226 2.268 Cu
1.204 -1.204 10.192 Cu
-1.204 1.204 5.656 Cu
1.204 1.204 5.656 Cu
-1.204 1.204 10.192 Cu
1.204 1.204 10.192 Cu
2.429 0.000 3.962 Ni
0.000 2.429 3.962 Ni

Y3Cu2Ni4 | Alexandria via LeMat-Bulk | PBE | optimized geometry; volume = 17.349 Å³ per atom; formation energy from the elements = -352.9 meV/atom; space-group type = No. 12; total DFT energy (no corrections) = -5.99 eV/atom
1.0
4.785 -2.058 0.000
4.785 2.058 0.000
-1.491 0.000 7.926
Y Cu Ni
3 2 4
Cartesian
0.000 0.000 0.000 Y
2.696 0.000 4.958 Y
5.383 0.000 2.968 Y
2.619 0.000 1.823 Cu
5.460 0.000 6.103 Cu
-0.113 0.000 5.016 Ni
1.205 0.000 7.290 Ni
6.874 0.000 0.636 Ni
8.193 0.000 2.910 Ni

Y3Cu4Ni2 | Alexandria via LeMat-Bulk | PBE | optimized geometry; volume = 18.123 Å³ per atom; formation energy from the elements = -295.7 meV/atom; space-group type = No. 12; total DFT energy (no corrections) = -5.56 eV/atom
1.0
5.164 -2.057 0.000
5.164 2.057 0.000
-2.715 0.000 7.679
Y Cu Ni
3 4 2
Cartesian
0.000 0.000 0.000 Y
2.440 0.000 2.626 Y
5.173 0.000 5.054 Y
-0.554 0.000 2.931 Cu
0.329 0.000 7.233 Cu
7.284 0.000 0.446 Cu
8.167 0.000 4.748 Cu
2.102 0.000 5.591 Ni
5.511 0.000 2.088 Ni

Y2CuNi2 | Alexandria via LeMat-Bulk | PBE | optimized geometry; volume = 18.691 Å³ per atom; formation energy from the elements = -324.7 meV/atom; space-group type = No. 127; total DFT energy (no corrections) = -6.04 eV/atom
1.0
7.071 0.000 0.000
0.000 7.071 0.000
0.000 0.000 3.738
Y Cu Ni
4 2 4
Cartesian
1.267 2.269 0.000 Y
2.269 5.804 0.000 Y
4.803 1.267 0.000 Y
5.804 4.803 0.000 Y
0.000 0.000 1.869 Cu
3.536 3.536 1.869 Cu
0.856 4.392 1.869 Ni
2.679 0.856 1.869 Ni
4.392 6.215 1.869 Ni
6.215 2.679 1.869 Ni